[1]
Crystalline Cd2Ag2AsO6 at its relaxed geometry, computed with PBE-GGA.

a b c (Å): 5.6822 5.6822 5.9009
angles (deg): 92.19 92.19 120.03
Closest atoms and distances in Å follow each position.
Atoms (fractional coordinates):
1 Cd 0.1630 0.8370 0.0000  6 O 2.34-2.35
2 Cd 0.8370 0.1630 0.0000  6 O 2.34-2.35
3 Ag 0.3558 0.6442 0.5000  2 O 2.12
4 Ag 0.6442 0.3558 0.5000  2 O 2.12
5 As 0.5000 0.5000 0.0000  6 O 1.85-1.91
6 O 0.2089 0.4883 0.8175  1 As 1.91, 1 Ag 2.12
7 O 0.2473 0.2473 0.1804  1 As 1.85
8 O 0.4883 0.2089 0.8175  1 As 1.91, 1 Ag 2.12
9 O 0.5117 0.7911 0.1825  1 As 1.91, 1 Ag 2.12
10 O 0.7527 0.7527 0.8196  1 As 1.85
11 O 0.7911 0.5117 0.1825  1 As 1.91, 1 Ag 2.12

Calculated values
- Symmetry: No. 12
- Formation energy without anion corrections: -74.92 kJ/mol of atoms
- E_tot: -50.473 eV/f.u.

---

[2]
Crystalline SmGeRu at its relaxed geometry, computed with PBE-GGA.

a b c (Å): 4.3110 4.3110 6.7545
angles (deg): 90.00 90.00 90.00
Closest atoms and distances in Å follow each position.
Atoms (fractional coordinates):
1 Sm 0.2500 0.2500 0.1879  4 Ru 3.01, 5 Ge 3.14-3.31
2 Sm 0.7500 0.7500 0.8121  4 Ru 3.01, 5 Ge 3.14-3.31
3 Ge 0.2500 0.2500 0.6984  4 Ru 2.54
4 Ge 0.7500 0.7500 0.3016  4 Ru 2.54
5 Ru 0.2500 0.7500 0.5000  4 Ge 2.54
6 Ru 0.7500 0.2500 0.5000  4 Ge 2.54

Calculated values
- Symmetry: No. 129
- Formation energy from the elements: -0.69 eV per atom
- E_tot: -20.668 eV/f.u.

---

[3]
Crystalline Ca2ErSb3Pd4 at its relaxed geometry, computed with PBE-GGA.

a b c (Å): 4.4822 4.4822 11.5728
angles (deg): 90.00 90.00 90.00
Closest atoms and distances in Å follow each position.
Atoms (fractional coordinates):
1 Ca 0.0000 0.5000 0.2182  4 Sb 3.33, 8 Pd 3.38-3.55
2 Ca 0.5000 0.0000 0.7818  4 Sb 3.33, 8 Pd 3.38-3.55
3 Er 0.0000 0.0000 0.5000  4 Pd 2.80
4 Sb 0.0000 0.5000 0.8693  5 Pd 2.60-2.70
5 Sb 0.5000 0.0000 0.1307  5 Pd 2.60-2.70
6 Sb 0.5000 0.5000 0.5000  4 Pd 2.80
7 Pd 0.0000 0.0000 0.0000  4 Sb 2.70
8 Pd 0.0000 0.5000 0.6445  3 Sb 2.60-2.80, 2 Er 2.80
9 Pd 0.5000 0.0000 0.3555  3 Sb 2.60-2.80, 2 Er 2.80
10 Pd 0.5000 0.5000 0.0000  4 Sb 2.70

Calculated values
- Symmetry: No. 115
- Formation energy without anion corrections: -80.18 kJ/mol of atoms
- E_tot: -50.015 eV/f.u.

---

[4]
Crystalline InI3 at its relaxed geometry, computed with PBE-GGA.

a b c (Å): 4.4232 6.5918 14.3250
angles (deg): 90.00 90.77 90.00
Closest atoms and distances in Å follow each position.
Atoms (fractional coordinates):
1 In 0.2311 0.0000 0.2500  4 I 2.69-2.90
2 In 0.7689 0.5000 0.7500  4 I 2.69-2.90
3 I 0.2205 0.7949 0.0879  1 In 2.69
4 I 0.2383 0.7987 0.4131  1 In 2.69
5 I 0.2692 0.7854 0.7508  2 In 2.90
6 I 0.7308 0.2854 0.2492  2 In 2.90
7 I 0.7617 0.2987 0.5869  1 In 2.69
8 I 0.7795 0.2949 0.9121  1 In 2.69

Calculated values
- Symmetry: No. 4
- Formation energy without anion corrections: -44.81 kJ/mol of atoms
- E_tot: -9.247 eV/f.u.

---

[5]
Crystalline SrLiRe3 at its relaxed geometry, computed with PBE-GGA.

a b c (Å): 4.8670 4.8670 4.8670
angles (deg): 90.00 90.00 90.00
Closest atoms and distances in Å follow each position.
Atoms (fractional coordinates):
1 Sr 0.0000 0.0000 0.0000  6 Re 2.43
2 Li 0.5000 0.5000 0.5000  12 Re 3.44
3 Re 0.0000 0.0000 0.5000  2 Sr 2.43
4 Re 0.0000 0.5000 0.0000  2 Sr 2.43
5 Re 0.5000 0.0000 0.0000  2 Sr 2.43

Calculated values
- Symmetry: No. 221
- Formation energy from the elements: 3.60 eV per atom
- Polymorph energy (0 for the lowest one): 873 kJ/mol of formula units
- E_tot: -22.961 eV/f.u.

---

[6]
Crystalline TeAuNF2 at its relaxed geometry, computed with PBE-GGA.

a b c (Å): 4.5677 4.5677 3.9295
angles (deg): 90.00 90.00 90.00
Closest atoms and distances in Å follow each position.
Atoms (fractional coordinates):
1 Te 0.0000 0.0000 0.0000  8 F 3.01, 4 N 3.23
2 Au 0.5000 0.5000 0.5000  2 N 1.96
3 N 0.5000 0.5000 0.0000  2 Au 1.96
4 F 0.0000 0.5000 0.5000  2 Au 2.28
5 F 0.5000 0.0000 0.5000  2 Au 2.28

Calculated values
- Symmetry: No. 123
- Polymorph energy (0 for the lowest one): 183 kJ/mol of formula units
- Formation energy without anion corrections: 38.82 kJ/mol of atoms
- E_tot: -16.476 eV/f.u.